(1)
Computed, not measured: a geometry-optimized Ac4SnGe3 structure at the PBE level of DFT.

Summary:
Raw total energy ... -4.974 eV/atom
Calculated formation energy ... -687.8 meV/atom
Total magnetization ... 0.10 μB/f.u.

a b c (Å): 4.847 4.359 11.959
angles (deg): 90.00 90.00 90.00
Site moments in Bohr magnetons follow the coordinates.
Positions (direct):
1 Ac 0.500 0.000 0.638  -0.05
2 Ac 0.500 0.500 0.368  0.06
3 Ac 0.000 0.000 0.146  0.07
4 Ac 0.000 0.500 0.857  -0.05
5 Ge 0.500 0.000 0.915  0.00
6 Ge 0.000 0.000 0.428  0.00
7 Ge 0.000 0.500 0.576  0.00
8 Sn 0.500 0.500 0.074  0.00

---

(2)
Computed, not measured: a geometry-optimized LiAc2Zn4Ga3 structure at the PBE level of DFT.

Summary:
Raw total energy ... -2.843 eV/atom
Calculated formation energy ... -412.2 meV/atom
Total magnetization ... 0.00 μB/f.u.

a b c (Å): 4.478 4.478 10.604
angles (deg): 90.00 90.00 90.00
Positions (direct):
1 Ac 0.000 0.500 0.756
2 Ac 0.500 0.000 0.244
3 Zn 0.000 0.000 0.000
4 Zn 0.500 0.000 0.625
5 Zn 0.500 0.500 0.000
6 Zn 0.000 0.500 0.375
7 Ga 0.000 0.500 0.133
8 Ga 0.000 0.000 0.500
9 Ga 0.500 0.000 0.867
10 Li 0.500 0.500 0.500

---

(3)
Computed, not measured: a geometry-optimized NdEr4S6 structure at the PBE level of DFT.

Summary:
Raw total energy ... -6.376 eV/atom
Formation energy (no corrections) ... -2032 meV per atom
Total magnetization ... 0.00 μB/f.u.

a b c (Å): 3.845 6.662 19.773
angles (deg): 90.00 90.00 106.77
Positions (direct):
1 S 0.232 0.463 0.912
2 S 0.953 0.906 0.664
3 S 0.232 0.463 0.588
4 S 0.047 0.094 0.164
5 S 0.683 0.366 0.750
6 S 0.768 0.537 0.412
7 S 0.317 0.634 0.250
8 S 0.500 0.000 0.500
9 S 0.953 0.906 0.836
10 S 0.500 0.000 0.000
11 S 0.047 0.094 0.336
12 S 0.768 0.537 0.088
13 Er 0.862 0.723 0.961
14 Er 0.138 0.277 0.461
15 Er 0.138 0.277 0.039
16 Er 0.862 0.723 0.539
17 Er 0.408 0.815 0.374
18 Er 0.592 0.185 0.626
19 Er 0.592 0.185 0.874
20 Er 0.408 0.815 0.126
21 Nd 0.347 0.693 0.750
22 Nd 0.653 0.307 0.250

---

(4)
Computed, not measured: a geometry-optimized InMo2Pt structure at the PBE level of DFT.

Summary:
Raw total energy ... -7.020 eV/atom
Calculated formation energy ... 590.2 meV/atom
Total magnetization ... 0.00 μB/f.u.

a b c (Å): 7.465 7.465 5.919
angles (deg): 50.91 50.91 90.00
Positions (direct):
1 Pt 0.750 0.250 0.500
2 Pt 0.000 0.000 0.000
3 Mo 0.875 0.900 0.750
4 Mo 0.100 0.625 0.250
5 Mo 0.650 0.125 0.250
6 Mo 0.375 0.350 0.750
7 In 0.250 0.750 0.500
8 In 0.500 0.500 0.000

---

(5)
Computed, not measured: a geometry-optimized Tl4Hg3Te2 structure at the PBE level of DFT.

Summary:
Raw total energy ... -1.985 eV/atom
Formation energy (no corrections) ... -134 meV per atom
Total magnetization ... 0.00 μB/f.u.

a b c (Å): 13.497 8.077 7.944
angles (deg): 120.55 116.81 90.00
Positions (direct):
1 Tl 0.599 0.991 0.411
2 Tl 0.099 0.421 0.411
3 Tl 0.901 0.579 0.589
4 Tl 0.401 0.009 0.589
5 Tl 0.520 0.545 0.810
6 Tl 0.480 0.455 0.190
7 Tl 0.020 0.265 0.810
8 Tl 0.980 0.735 0.190
9 Hg 0.750 0.348 0.000
10 Hg 0.636 0.011 0.020
11 Hg 0.250 0.652 0.000
12 Hg 0.364 0.989 0.980
13 Hg 0.136 0.009 0.020
14 Hg 0.864 0.991 0.980
15 Te 0.683 0.441 0.593
16 Te 0.817 0.848 0.407
17 Te 0.183 0.152 0.593
18 Te 0.317 0.559 0.407

---

(6)
Computed, not measured: a geometry-optimized TbSmBr structure at the PBE level of DFT.

Summary:
ΔE to the lowest computed polymorph ... 17 meV/atom
Raw total energy ... -4.417 eV/atom
Formation energy (no corrections) ... -743 meV per atom
Total magnetization ... 0.39 μB/f.u.

a b c (Å): 3.764 3.764 7.403
angles (deg): 90.00 90.00 120.00
Site moments in Bohr magnetons follow the coordinates.
Positions (direct):
1 Br 0.667 0.333 0.329  0.00
2 Tb 0.000 0.000 0.019  0.15
3 Sm 0.333 0.667 0.652  0.09